# 1
# AgTeAs2

A relaxed structure of AgTeAs2 (PBE, Alexandria). Values from VASP.

Summary:
Symmetry ... P4/mmm, No. 123
DOS(E_F) ... 2.926 states/eV/f.u.
E_form (uncorrected) ... 412 meV/atom

Cell and atoms, written as Quantum ESPRESSO input:
```
&SYSTEM
  ibrav = 0, nat = 4, ntyp = 3
/
ATOMIC_SPECIES
As 74.92 As.upf
Te 127.60 Te.upf
Ag 107.87 Ag.upf
CELL_PARAMETERS angstrom
-4.095 -2.169 2.999
2.643 -2.419 1.860
0.583 2.816 2.833
ATOMIC_POSITIONS angstrom
As 1.613 0.199 2.347
As 0.000 0.000 0.000
Te -0.726 -2.294 2.430
Ag -1.756 0.324 2.916
```

---

# 2
# Ag2Te2As

A relaxed structure of Ag2Te2As (PBE, Alexandria). Values from VASP.

Summary:
Symmetry ... P4/mbm, No. 127
DOS(E_F) ... 2.096 states/eV/f.u.
E_form (uncorrected) ... 213 meV/atom

Cell and atoms, written as Quantum ESPRESSO input:
```
&SYSTEM
  ibrav = 0, nat = 10, ntyp = 3
/
ATOMIC_SPECIES
Ag 107.87 Ag.upf
Te 127.60 Te.upf
As 74.92 As.upf
CELL_PARAMETERS angstrom
-7.087 -1.446 3.423
2.789 -6.941 2.841
1.188 1.795 3.218
ATOMIC_POSITIONS angstrom
Ag -4.568 -2.984 5.680
Ag -1.731 -0.504 3.249
Ag 1.458 -3.608 3.803
Ag -1.379 -6.089 6.234
Te -0.440 -2.450 1.529
Te -3.859 -5.937 4.736
Te 0.043 -6.107 3.389
Te -4.342 -2.280 2.875
As -2.149 -4.194 3.132
As 0.000 0.000 0.000
```

---

# 3
# Ag2Te2As

A relaxed structure of Ag2Te2As (PBE, Alexandria). Values from VASP.

Summary:
Symmetry ... C2/m, No. 12
DOS(E_F) ... 0.815 states/eV/f.u.
E_form (uncorrected) ... 67 meV/atom

Cell and atoms, written as Quantum ESPRESSO input:
```
&SYSTEM
  ibrav = 0, nat = 10, ntyp = 3
/
ATOMIC_SPECIES
Ag 107.87 Ag.upf
As 74.92 As.upf
Te 127.60 Te.upf
CELL_PARAMETERS angstrom
-0.812 -4.170 2.197
6.451 -0.033 -2.885
1.114 4.081 8.159
ATOMIC_POSITIONS angstrom
Ag 5.338 -1.134 5.027
Ag 4.414 0.627 2.821
Ag 2.340 -0.749 4.650
Ag 1.416 1.012 2.444
As 4.486 2.666 6.718
As 2.268 -2.787 0.753
Te 2.442 2.153 4.989
Te 6.299 1.436 5.054
Te 0.455 -1.558 2.417
Te 4.312 -2.275 2.482
```

---

# 4
# Ag4Te3As

A relaxed structure of Ag4Te3As (PBE, Alexandria). Values from VASP.

Summary:
Symmetry ... Cc, No. 9
DOS(E_F) ... 2.421 states/eV/f.u.
E_form (uncorrected) ... 21 meV/atom

Cell and atoms, written as Quantum ESPRESSO input:
```
&SYSTEM
  ibrav = 0, nat = 16, ntyp = 3
/
ATOMIC_SPECIES
Ag 107.87 Ag.upf
Te 127.60 Te.upf
As 74.92 As.upf
CELL_PARAMETERS angstrom
7.199 0.000 0.000
-3.599 6.707 -1.410
0.000 0.989 8.977
ATOMIC_POSITIONS angstrom
Ag 0.972 2.629 8.230
Ag 2.410 4.957 -0.354
Ag 5.004 3.468 1.323
Ag -0.958 3.638 6.207
Ag 6.227 2.134 3.741
Ag -2.410 5.452 4.135
Ag 0.958 3.144 1.718
Ag 2.194 3.962 5.811
Te 3.334 2.315 3.187
Te 0.296 4.779 3.932
Te 3.411 6.877 6.105
Te -0.296 4.284 -0.557
Te 3.864 2.810 7.676
Te 3.788 6.382 1.617
As 5.029 1.090 5.988
As 2.169 0.595 1.499
```

---

# 5
# Ag8Te6As

A relaxed structure of Ag8Te6As (PBE, Alexandria). Values from VASP.

Summary:
Symmetry ... Pmn2_1, No. 31
DOS(E_F) ... 1.928 states/eV/f.u.
E_form (uncorrected) ... -15 meV/atom

Cell and atoms, written as Quantum ESPRESSO input:
```
&SYSTEM
  ibrav = 0, nat = 30, ntyp = 3
/
ATOMIC_SPECIES
Te 127.60 Te.upf
Ag 107.87 Ag.upf
As 74.92 As.upf
CELL_PARAMETERS angstrom
8.275 0.000 0.000
0.000 8.597 0.000
0.000 0.000 11.450
ATOMIC_POSITIONS angstrom
Te 2.152 1.778 1.270
Te 4.223 0.000 4.134
Te 2.226 4.298 5.624
Te 2.152 6.819 1.270
Te 1.528 0.000 8.578
Te 6.748 4.298 2.853
Te 6.123 6.076 6.995
Te 6.123 2.520 6.995
Te 6.049 0.000 11.349
Te 0.258 4.298 9.732
Te 8.017 0.000 4.007
Te 4.052 4.298 9.859
Ag 2.024 0.000 5.803
Ag 1.186 6.206 3.954
Ag 4.588 2.439 2.650
Ag 3.687 1.859 8.375
Ag 0.797 6.170 7.168
Ag 3.687 6.737 8.375
Ag 7.089 6.689 9.679
Ag 0.797 2.427 7.168
Ag 7.479 6.725 1.443
Ag 4.588 6.158 2.650
Ag 7.479 1.872 1.443
Ag 6.251 4.298 0.078
Ag 1.186 2.391 3.954
Ag 7.089 1.908 9.679
Ag 4.913 4.298 4.985
Ag 3.362 0.000 10.710
As 6.155 0.000 5.898
As 2.120 4.298 0.173
```

---

# 6
# Ag3Te12As5

A relaxed structure of Ag3Te12As5 (PBE, Alexandria). Values from VASP.

Summary:
Symmetry ... Ia-3d, No. 230
DOS(E_F) ... 16.238 states/eV/f.u.
E_form (uncorrected) ... 197 meV/atom

Cell and atoms, written as Quantum ESPRESSO input:
```
&SYSTEM
  ibrav = 0, nat = 80, ntyp = 3
/
ATOMIC_SPECIES
Te 127.60 Te.upf
Ag 107.87 Ag.upf
As 74.92 As.upf
CELL_PARAMETERS angstrom
-1.577 -2.257 14.608
-1.970 -12.834 -7.238
13.648 5.203 -2.765
ATOMIC_POSITIONS angstrom
Te 9.630 -6.499 -1.446
Te 5.854 -6.684 -4.836
Te 10.396 -1.171 -4.617
Te 6.996 0.176 10.952
Te 10.838 -6.849 -4.846
Te 1.587 -5.448 10.453
Te 9.378 2.195 -0.130
Te 0.052 -8.310 5.769
Te -0.296 -8.717 9.222
Te 0.103 -5.120 -1.296
Te 2.935 -5.635 7.094
Te 3.428 -7.262 2.809
Te 3.104 -10.063 -6.347
Te 10.534 -1.234 6.506
Te -2.462 -13.405 5.311
Te -0.171 -5.733 2.133
Te 8.513 -4.439 -5.848
Te 5.702 -0.043 -1.305
Te 3.718 0.146 4.859
Te -0.434 -8.654 -1.900
Te 4.398 -9.844 5.910
Te 7.577 -8.617 5.136
Te -0.153 -11.180 -5.747
Te 11.024 -0.663 3.093
Te 3.063 -10.328 1.172
Te 4.113 -5.594 -0.336
Te 5.986 -4.294 4.941
Te 6.825 -7.078 1.557
Te 7.037 0.441 3.434
Te 10.253 1.293 10.352
Te 4.246 -3.203 9.441
Te 2.523 -1.271 -0.531
Te 10.048 -1.578 -1.163
Te 6.672 -2.625 1.797
Te 6.567 -1.270 6.595
Te 8.182 -8.998 -3.635
Te 0.721 -12.082 4.735
Te 10.271 -4.154 2.472
Te 6.382 -10.034 -0.254
Te 0.469 -3.389 6.051
Te 7.164 -4.253 -2.489
Te 3.533 -8.617 -1.989
Te 9.996 -4.767 5.902
Te 1.918 -0.889 8.240
Te 12.562 3.518 -0.706
Te -0.924 -9.224 1.513
Te -0.738 -3.039 9.451
Te 3.275 -2.810 3.048
Ag 1.785 -2.278 11.186
Ag -0.216 -5.855 7.896
Ag 1.589 -7.567 0.263
Ag 11.252 1.062 -2.403
Ag 8.511 -2.321 4.342
Ag -1.152 -10.950 7.008
Ag 4.477 -0.217 1.711
Ag 8.314 -7.609 -6.581
Ag 5.623 -9.670 2.895
Ag 3.639 -2.668 6.284
Ag 6.460 -7.220 -1.678
Ag 10.316 -4.032 -3.291
As 10.512 1.256 7.632
As 2.476 -3.794 -1.579
As 0.000 0.000 0.000
As 6.657 -1.931 9.245
As 2.703 -7.763 5.395
As 5.050 -4.944 2.303
As 0.622 -3.404 3.323
As 9.478 -6.483 1.282
As 5.839 -3.815 -5.001
As 0.702 -11.339 2.105
As 9.398 1.452 2.500
As 7.396 -2.125 -0.790
As 6.824 2.602 -1.382
As -1.774 -7.545 3.685
As 7.624 -6.093 6.185
As -0.412 -11.143 -3.027
As -0.985 -6.417 -3.619
As 3.443 -7.956 -4.639
As -0.789 -1.129 7.304
As 6.035 1.473 5.922
```

---

# 7
# Ag7Te6As

A relaxed structure of Ag7Te6As (PBE, Alexandria). Values from VASP.

Summary:
Symmetry ... Ibam, No. 72
DOS(E_F) ... 5.758 states/eV/f.u.
E_form (uncorrected) ... 38 meV/atom

Cell and atoms, written as Quantum ESPRESSO input:
```
&SYSTEM
  ibrav = 0, nat = 28, ntyp = 3
/
ATOMIC_SPECIES
Te 127.60 Te.upf
Ag 107.87 Ag.upf
As 74.92 As.upf
CELL_PARAMETERS angstrom
-3.151 1.496 -5.032
-11.511 -1.139 3.145
-2.571 11.631 1.343
ATOMIC_POSITIONS angstrom
Te -5.322 5.612 -0.657
Te -15.774 8.985 -0.560
Te -4.902 10.205 0.013
Te -8.287 8.369 -2.138
Te -12.304 10.830 1.682
Te -1.460 3.003 0.015
Te -4.930 1.158 -2.227
Te -8.561 8.277 2.163
Te -8.947 3.619 1.594
Te -8.673 3.711 -2.708
Te -11.911 6.376 0.113
Te -12.331 1.783 -0.558
Ag -3.640 7.638 0.605
Ag -9.664 6.021 -1.500
Ag -12.925 8.991 -0.408
Ag -7.734 10.075 0.168
Ag -9.499 1.913 -0.713
Ag -13.594 4.350 -1.150
Ag -5.169 12.394 -2.362
Ag -9.139 11.066 -2.382
Ag -4.308 2.997 -0.136
Ag -8.095 0.922 1.837
Ag -5.386 8.142 -1.876
Ag -12.064 -0.406 1.818
Ag -11.848 3.846 1.332
Ag -7.570 5.967 0.955
As -5.884 3.745 -2.652
As -11.350 8.243 2.108
```

---

# 8
# AgTeAs2

A relaxed structure of AgTeAs2 (PBE, Alexandria). Values from VASP.

Summary:
Symmetry ... Pmmm, No. 47
DOS(E_F) ... 2.047 states/eV/f.u.
E_form (uncorrected) ... 324 meV/atom

Cell and atoms, written as Quantum ESPRESSO input:
```
&SYSTEM
  ibrav = 0, nat = 4, ntyp = 3
/
ATOMIC_SPECIES
Ag 107.87 Ag.upf
As 74.92 As.upf
Te 127.60 Te.upf
CELL_PARAMETERS angstrom
3.023 0.000 0.000
0.000 4.506 0.000
0.000 0.000 6.718
ATOMIC_POSITIONS angstrom
Ag 1.511 2.253 5.039
As 0.000 0.000 6.294
As 0.000 0.000 3.783
Te 1.511 2.253 1.680
```

---

# 9
# AgTeAs

A relaxed structure of AgTeAs (PBE, Alexandria). Values from VASP.

Summary:
Symmetry ... I4mm, No. 107
DOS(E_F) ... 1.206 states/eV/f.u.
E_form (uncorrected) ... 355 meV/atom

Cell and atoms, written as Quantum ESPRESSO input:
```
&SYSTEM
  ibrav = 0, nat = 3, ntyp = 3
/
ATOMIC_SPECIES
Ag 107.87 Ag.upf
Te 127.60 Te.upf
As 74.92 As.upf
CELL_PARAMETERS angstrom
5.784 0.088 0.000
3.467 4.630 0.000
-4.625 -2.359 2.549
ATOMIC_POSITIONS angstrom
Ag 9.077 4.629 0.000
Te 6.284 3.204 0.000
As 3.141 1.601 0.000
```

---

# 10
# Ag4TeAs

A relaxed structure of Ag4TeAs (PBE, Alexandria). Values from VASP.

Summary:
Symmetry ... F-43m, No. 216
DOS(E_F) ... 2.607 states/eV/f.u.
E_form (uncorrected) ... 266 meV/atom

Cell and atoms, written as Quantum ESPRESSO input:
```
&SYSTEM
  ibrav = 0, nat = 6, ntyp = 3
/
ATOMIC_SPECIES
Ag 107.87 Ag.upf
As 74.92 As.upf
Te 127.60 Te.upf
CELL_PARAMETERS angstrom
-3.775 -4.025 0.935
-0.226 -2.519 4.993
-4.322 0.958 3.425
ATOMIC_POSITIONS angstrom
Ag -5.279 -1.619 5.219
Ag -5.006 -4.103 3.978
Ag -3.124 -2.097 3.511
Ag -3.237 -3.353 6.000
As -6.242 -4.190 7.015
Te 0.000 0.000 0.000
```

---

# 11
# AgTeAs

A relaxed structure of AgTeAs (PBE, Alexandria). Values from VASP.

Summary:
Symmetry ... F-43m, No. 216
DOS(E_F) ... 1.205 states/eV/f.u.
E_form (uncorrected) ... 277 meV/atom

Cell and atoms, written as Quantum ESPRESSO input:
```
&SYSTEM
  ibrav = 0, nat = 3, ntyp = 3
/
ATOMIC_SPECIES
As 74.92 As.upf
Te 127.60 Te.upf
Ag 107.87 Ag.upf
CELL_PARAMETERS angstrom
4.742 0.000 0.000
2.371 4.106 0.000
2.371 1.369 3.871
ATOMIC_POSITIONS angstrom
As 0.000 0.000 0.000
Te 4.742 2.738 1.936
Ag 7.112 4.106 2.904
```

---

# 12
# AgTe2As2

A relaxed structure of AgTe2As2 (PBE, Alexandria). Values from VASP.

Summary:
Symmetry ... P4/mbm, No. 127
DOS(E_F) ... 2.430 states/eV/f.u.
E_form (uncorrected) ... 301 meV/atom

Cell and atoms, written as Quantum ESPRESSO input:
```
&SYSTEM
  ibrav = 0, nat = 10, ntyp = 3
/
ATOMIC_SPECIES
Te 127.60 Te.upf
Ag 107.87 Ag.upf
As 74.92 As.upf
CELL_PARAMETERS angstrom
8.256 0.000 0.000
0.000 8.256 0.000
0.000 0.000 3.846
ATOMIC_POSITIONS angstrom
Te 1.697 2.431 0.000
Te 2.431 6.559 0.000
Te 6.559 5.825 0.000
Te 5.825 1.697 0.000
Ag 4.128 4.128 0.000
Ag 0.000 0.000 0.000
As 7.185 3.057 1.923
As 5.200 7.185 1.923
As 1.072 5.200 1.923
As 3.057 1.072 1.923
```

---

# 13
# Ag2Te3As

A relaxed structure of Ag2Te3As (PBE, Alexandria). Values from VASP.

Summary:
Symmetry ... C2/c, No. 15
DOS(E_F) ... 2.802 states/eV/f.u.
E_form (uncorrected) ... -3 meV/atom

Cell and atoms, written as Quantum ESPRESSO input:
```
&SYSTEM
  ibrav = 0, nat = 12, ntyp = 3
/
ATOMIC_SPECIES
As 74.92 As.upf
Te 127.60 Te.upf
Ag 107.87 Ag.upf
CELL_PARAMETERS angstrom
-1.174 -3.663 4.335
0.142 -6.428 -5.393
6.760 2.702 0.240
ATOMIC_POSITIONS angstrom
As 0.024 -1.642 -1.307
As -1.056 -8.450 0.249
Te 3.630 -3.933 1.534
Te -0.527 -3.362 0.729
Te 2.098 -3.456 -2.352
Te 3.701 -7.148 -1.163
Te 2.027 -0.242 0.344
Te -0.505 -6.729 -1.787
Ag 4.204 -2.102 -0.637
Ag 1.523 -5.288 -0.181
Ag 1.452 -2.074 2.515
Ag 4.276 -5.315 -3.334
```

---

# 14
# Ag3TeAs

A relaxed structure of Ag3TeAs (PBE, Alexandria). Values from VASP.

Summary:
Symmetry ... Pm-3m, No. 221
DOS(E_F) ... 4.683 states/eV/f.u.
E_form (uncorrected) ... 365 meV/atom

Cell and atoms, written as Quantum ESPRESSO input:
```
&SYSTEM
  ibrav = 0, nat = 5, ntyp = 3
/
ATOMIC_SPECIES
Ag 107.87 Ag.upf
Te 127.60 Te.upf
As 74.92 As.upf
CELL_PARAMETERS angstrom
-1.480 -1.291 4.602
4.725 -1.121 1.205
0.721 4.702 1.551
ATOMIC_POSITIONS angstrom
Ag 0.360 2.351 0.775
Ag 2.362 -0.561 0.602
Ag -0.740 -0.645 2.301
Te 1.983 1.145 3.679
As 0.000 0.000 0.000
```

---

# 15
# AgTe4As2

A relaxed structure of AgTe4As2 (PBE, Alexandria). Values from VASP.

Summary:
Symmetry ... Cmcm, No. 63
DOS(E_F) ... 4.359 states/eV/f.u.
E_form (uncorrected) ... 94 meV/atom

Cell and atoms, written as Quantum ESPRESSO input:
```
&SYSTEM
  ibrav = 0, nat = 14, ntyp = 3
/
ATOMIC_SPECIES
As 74.92 As.upf
Te 127.60 Te.upf
Ag 107.87 Ag.upf
CELL_PARAMETERS angstrom
4.045 0.000 0.000
-2.022 6.596 0.000
0.000 0.000 14.681
ATOMIC_POSITIONS angstrom
As 0.000 1.871 6.373
As 2.022 4.725 13.713
As 2.022 4.725 8.308
As 0.000 1.871 0.968
Te 2.022 3.733 1.753
Te 0.000 0.692 3.670
Te 2.022 0.000 7.340
Te 0.000 2.863 12.928
Te 2.022 3.733 5.587
Te 2.022 5.904 11.011
Te 2.022 0.000 0.000
Te 0.000 2.863 9.094
Ag 2.022 1.238 11.011
Ag 0.000 5.358 3.670
```

---

# 16
# Ag2Te5As2

A relaxed structure of Ag2Te5As2 (PBE, Alexandria). Values from VASP.

Summary:
Symmetry ... P-1, No. 2
DOS(E_F) ... 0.577 states/eV/f.u.
E_form (uncorrected) ... 41 meV/atom

Cell and atoms, written as Quantum ESPRESSO input:
```
&SYSTEM
  ibrav = 0, nat = 9, ntyp = 3
/
ATOMIC_SPECIES
Te 127.60 Te.upf
As 74.92 As.upf
Ag 107.87 Ag.upf
CELL_PARAMETERS angstrom
4.523 0.921 -1.025
0.584 7.127 -3.487
0.688 -0.377 9.265
ATOMIC_POSITIONS angstrom
Te 5.332 3.680 5.119
Te 0.462 3.991 -0.367
Te 2.072 5.818 2.127
Te 3.723 1.853 2.626
Te 0.000 0.000 0.000
As 1.695 6.388 -0.625
As 4.100 1.283 5.378
Ag 2.173 1.887 0.196
Ag 3.622 5.785 4.557
```

---

# 17
# AgTeAs2

A relaxed structure of AgTeAs2 (PBE, Alexandria). Values from VASP.

Summary:
Symmetry ... Pm, No. 6
DOS(E_F) ... 1.713 states/eV/f.u.
E_form (uncorrected) ... 183 meV/atom

Cell and atoms, written as Quantum ESPRESSO input:
```
&SYSTEM
  ibrav = 0, nat = 4, ntyp = 3
/
ATOMIC_SPECIES
As 74.92 As.upf
Ag 107.87 Ag.upf
Te 127.60 Te.upf
CELL_PARAMETERS angstrom
-1.511 4.336 3.160
-1.829 0.930 -2.151
-6.040 -2.153 0.067
ATOMIC_POSITIONS angstrom
As -0.985 -0.153 -0.261
As -1.737 2.016 1.320
Ag -5.673 1.405 0.276
Te -4.918 -0.766 -1.300
```

---

# 18
# AgTeAs

A relaxed structure of AgTeAs (PBE, Alexandria). Values from VASP.

Summary:
Symmetry ... P1, No. 1
DOS(E_F) ... 0.235 states/eV/f.u.
E_form (uncorrected) ... 79 meV/atom

Cell and atoms, written as Quantum ESPRESSO input:
```
&SYSTEM
  ibrav = 0, nat = 6, ntyp = 3
/
ATOMIC_SPECIES
Te 127.60 Te.upf
Ag 107.87 Ag.upf
As 74.92 As.upf
CELL_PARAMETERS angstrom
4.368 -0.601 -0.705
0.210 6.343 -0.504
-0.070 -0.474 5.900
ATOMIC_POSITIONS angstrom
Te 1.421 4.957 -0.250
Te 3.275 2.351 2.049
Ag 1.125 1.066 3.150
Ag 3.444 2.618 -0.762
As 2.235 4.829 3.105
As 4.089 -0.373 4.435
```

---

# 19
# Ag3Te4As2

A relaxed structure of Ag3Te4As2 (PBE, Alexandria). Values from VASP.

Summary:
Symmetry ... C2/c, No. 15
DOS(E_F) ... 2.470 states/eV/f.u.
E_form (uncorrected) ... 59 meV/atom

Cell and atoms, written as Quantum ESPRESSO input:
```
&SYSTEM
  ibrav = 0, nat = 18, ntyp = 3
/
ATOMIC_SPECIES
Te 127.60 Te.upf
As 74.92 As.upf
Ag 107.87 Ag.upf
CELL_PARAMETERS angstrom
-2.011 -1.207 6.325
-7.078 -3.737 -4.168
5.667 -6.984 -0.736
ATOMIC_POSITIONS angstrom
Te -1.478 -8.528 3.186
Te -3.202 -7.229 -0.711
Te 2.950 -8.409 1.518
Te -1.943 -3.399 -1.765
Te -0.219 -4.698 2.133
Te -5.718 -5.342 -4.249
Te 2.297 -6.586 5.670
Te -6.371 -3.518 -0.097
As -4.204 -7.763 1.652
As 0.783 -4.165 -0.230
As -3.356 -3.970 2.089
As -0.066 -7.958 -0.667
Ag -6.047 -3.818 2.633
Ag -4.438 -4.839 -1.740
Ag 1.017 -7.088 3.162
Ag -6.056 -6.758 -0.115
Ag 2.625 -8.110 -1.211
Ag 2.634 -5.170 1.537
```